Compound: LaHo4Sc3
Source: Alexandria
Functional: PBE
Structure: relaxed

Structure (extended XYZ):
```
8
Lattice="-1.650 5.641 6.287 1.650 -5.641 6.287 1.650 5.641 -6.287" Properties=species:S:1:pos:R:3 pbc="T T T"
La 0.000 0.000 0.000
Ho 1.650 -2.756 4.611
Ho 0.000 2.885 1.676
Ho 1.650 2.756 4.611
Ho 0.000 8.397 1.676
Sc 1.650 0.000 3.066
Sc 0.000 0.000 6.287
Sc 0.000 5.641 3.222
```

Formation enthalpy at 0 K = 1.4 eV/f.u.
Excess energy over the best structure of this formula in the dataset = 143 meV per atom
Total moment = 0.0 μB/f.u.